[1]
The following is a DFT calculation (PBE-GGA) of crystalline Pm2NdCu2Si2 at its relaxed geometry.

```
Pm2NdCu2Si2
1.0
-3.220 2.503 1.168
-3.732 -1.708 1.076
0.675 -0.306 10.224
Si Nd Cu Pm
2 1 2 2
direct
0.734 0.734 0.797
0.266 0.266 0.203
0.000 0.000 0.000
0.600 0.600 0.200
0.400 0.400 0.800
0.874 0.874 0.377
0.126 0.126 0.623
```

Properties
* SG: R-3m
* VASP energy: -5.23 eV/atom
* formation energy (no corrections): -3.3 eV/f.u.
* V: 22.2 A^3/atom
* magnetization: 0.0 μB per cell

***

[2]
The following is a DFT calculation (PBE-GGA) of crystalline Y6Tl5Au at its relaxed geometry.

```
Y6Tl5Au
1.0
5.051 -0.030 1.725
0.040 7.532 0.013
0.049 -0.015 8.482
Y Au Tl
6 1 5
direct
0.835 0.755 0.324
0.165 0.755 0.676
0.500 0.241 0.000
0.500 0.759 0.000
0.835 0.245 0.324
0.165 0.245 0.676
0.000 0.000 0.000
0.329 0.000 0.334
0.000 0.500 0.000
0.673 0.500 0.663
0.327 0.500 0.337
0.671 0.000 0.666
```

Properties
* SG: P2/m
* VASP energy: -4.93 eV/atom
* formation energy from the elements: -0.442 eV/atom
* V: 26.8 A^3/atom
* magnetization: 0.0 μB per cell

***

[3]
The following is a DFT calculation (PBE-GGA) of crystalline CaCd4Hg at its relaxed geometry.

```
CaCd4Hg
1.0
-0.821 -5.282 0.381
3.532 -1.073 -7.270
7.014 1.855 3.133
Cd Ca Hg
8 2 2
direct
0.223 0.077 0.445
0.421 0.250 0.842
0.000 0.500 0.000
0.777 0.577 0.555
0.777 0.923 0.555
0.579 0.750 0.158
0.000 0.000 0.000
0.223 0.423 0.445
0.372 0.750 0.745
0.628 0.250 0.255
0.846 0.250 0.692
0.154 0.750 0.308
```

Properties
* SG: Cmcm
* VASP energy: -1.06 eV/atom
* formation energy from the elements: -0.061 eV/atom
* E above lowest polymorph: 137 meV/atom
* V: 27.1 A^3/atom
* magnetization: 0.0 μB per cell

***

[4]
The following is a DFT calculation (PBE-GGA) of crystalline FeSbPd at its relaxed geometry.

```
FeSbPd
1.0
3.323 0.000 0.000
0.000 13.733 0.000
0.000 0.000 4.367
Pd Fe Sb
4 4 4
direct
0.000 0.214 0.750
0.500 0.286 0.250
0.500 0.714 0.750
0.000 0.786 0.250
0.500 0.046 0.750
0.500 0.954 0.250
0.000 0.454 0.250
0.000 0.546 0.750
0.500 0.394 0.750
0.000 0.106 0.250
0.000 0.894 0.750
0.500 0.606 0.250
```

Properties
* SG: Cmcm
* VASP energy: -6.02 eV/atom
* formation energy (no corrections): -0.3 eV/f.u.
* V: 16.6 A^3/atom
* magnetization: 9.5 μB per cell

***

[5]
The following is a DFT calculation (PBE-GGA) of crystalline HoLuOs2 at its relaxed geometry.

```
HoLuOs2
1.0
-3.164 -1.127 3.375
-2.418 -4.093 -0.274
0.936 -3.527 3.058
Lu Os Ho
1 2 1
direct
0.500 0.500 0.500
0.750 0.750 0.750
0.250 0.250 0.250
0.000 0.000 0.000
```

Properties
* SG: Fm-3m
* VASP energy: -8.01 eV/atom
* formation energy from the elements: -0.119 eV/atom
* V: 19.1 A^3/atom
* magnetization: 0.0 μB per cell

***

[6]
The following is a DFT calculation (PBE-GGA) of crystalline La2Pd2Pt at its relaxed geometry.

```
La2Pd2Pt
1.0
7.997 0.000 0.000
0.000 7.997 0.000
0.000 0.000 3.909
Pd La Pt
4 4 2
direct
0.122 0.622 0.500
0.622 0.878 0.500
0.878 0.378 0.500
0.378 0.122 0.500
0.678 0.178 0.000
0.322 0.822 0.000
0.822 0.678 0.000
0.178 0.322 0.000
0.500 0.500 0.000
0.000 0.000 0.000
```

Properties
* SG: P4/mbm
* VASP energy: -5.88 eV/atom
* formation energy from the elements: -0.624 eV/atom
* E above lowest polymorph: 294 meV/atom
* V: 25.0 A^3/atom
* magnetization: 0.0 μB per cell

***

[7]
The following is a DFT calculation (PBE-GGA) of crystalline ErGa6Tc2 at its relaxed geometry.

```
ErGa6Tc2
1.0
3.499 0.000 0.000
1.750 7.125 1.478
1.750 2.855 6.694
Ga Er Tc
6 1 2
direct
0.683 0.014 0.621
0.317 0.379 0.986
0.317 0.986 0.379
0.500 0.325 0.675
0.683 0.621 0.014
0.500 0.675 0.325
0.000 0.000 0.000
0.132 0.368 0.368
0.868 0.632 0.632
```

Properties
* SG: Immm
* VASP energy: -5.02 eV/atom
* formation energy from the elements: -0.196 eV/atom
* V: 16.9 A^3/atom
* magnetization: 0.0 μB per cell

***

[8]
The following is a DFT calculation (PBE-GGA) of crystalline CeThGe2 at its relaxed geometry.

```
CeThGe2
1.0
4.230 0.000 0.000
2.115 3.663 0.000
2.115 1.221 7.208
Th Ge Ce
1 2 1
direct
0.498 0.498 0.507
0.081 0.081 0.758
0.253 0.253 0.242
0.669 0.669 0.993
```

Properties
* SG: R3m
* VASP energy: -6.19 eV/atom
* formation energy from the elements: -0.541 eV/atom
* V: 27.9 A^3/atom
* magnetization: 0.0 μB per cell